A relaxed UMnPtO6 crystal. Source: the Alexandria database, functional GGA+U.

The calculation puts the calculated total energy at -7.96 eV/atom. The calculation puts the magnetic moment at 10.00 μB per cell.

The structure belongs to space group P-31c (No. 163); the cell edges are 5.2997, 5.2997 and 9.6259 Å and the angles 90.00°, 90.00° and 120.00°. The asymmetric unit holds U at (0.3333, 0.6667, 0.2500), Mn at (0.0000, 0.0000, 0.0000), Pt at (0.3333, 0.6667, 0.7500) and O at (0.0086, 0.3464, 0.6324).